Computed, not measured: an optimized crystal structure of Ca3Ru2O7 at the GGA-PBEsol level of DFT.

Symmetry: Cmc2_1, No. 36
Energy relative to the elements, uncorrected (eV per atom): -2.057
E_tot (Ry per atom): -0.5400
Magnetization (μB per cell): 7.99

Unit cell a=5.3326 b=5.5307 c=10.0615 alpha=90.00 beta=105.37 gamma=90.00
Closest atoms and distances in Å follow each position.
Element x y z (fractional)
O 0.8392 0.7709 0.0000  2 Ru 1.97
Ca 0.4449 0.8076 0.3772  6 O 2.27-2.52
O 0.5187 0.2294 0.3974  1 Ru 1.98
O 0.8322 0.0456 0.7657  2 Ru 1.97-1.99
O 0.5276 0.9509 0.1606  2 Ru 2.00
Ca 0.0676 0.8076 0.6228  6 O 2.27-2.52
Ca 0.2669 0.6895 0.0000  6 O 2.33-2.55
O 0.1213 0.2294 0.6026  1 Ru 1.98
O 0.9335 0.5456 0.7657  2 Ru 1.97-1.99
Ru 0.6537 0.7504 0.8027  6 O 1.97-2.00
O 0.0665 0.0456 0.2343  2 Ru 1.97-1.99
Ru 0.1490 0.2504 0.8027  6 O 1.97-2.00
O 0.4813 0.7294 0.6026  1 Ru 1.98
O 0.4724 0.4509 0.8394  2 Ru 2.00
O 0.1678 0.5456 0.2343  2 Ru 1.97-1.99
O 0.3670 0.9509 0.8394  2 Ru 2.00
Ru 0.8510 0.7504 0.1973  6 O 1.97-2.00
Ca 0.7331 0.1895 0.0000  6 O 2.33-2.55
Ca 0.5551 0.3076 0.6228  6 O 2.27-2.52
O 0.8787 0.7294 0.3974  1 Ru 1.98
O 0.6330 0.4509 0.1606  2 Ru 2.00
Ru 0.3463 0.2504 0.1973  6 O 1.97-2.00
O 0.1608 0.2709 0.0000  2 Ru 1.97
Ca 0.9324 0.3076 0.3772  6 O 2.27-2.52

=====

Computed, not measured: an optimized crystal structure of SrCa3Ru4O12 at the GGA-PBEsol level of DFT.

Symmetry: Pm, No. 6
Energy relative to the elements, uncorrected (eV per atom): -1.859
E_tot (Ry per atom): -0.5479
Magnetization (μB per cell): 6.57

Unit cell a=5.3666 b=5.5288 c=7.6589 alpha=90.00 beta=90.00 gamma=90.10
Closest atoms and distances in Å follow each position.
Element x y z (fractional)
O 0.3006 0.7036 0.7972  2 Ru 1.99-2.00
O 0.4081 0.9922 0.5000  2 Ru 2.00
Ru 0.9994 0.5004 0.2475  6 O 1.97-2.00
Ru 0.9994 0.5004 0.7525  6 O 1.97-2.00
O 0.2030 0.2056 0.1996  2 Ru 2.00
O 0.5924 0.0201 0.0000  2 Ru 1.96
O 0.0672 0.4735 0.5000  2 Ru 1.97
Ca 0.9844 0.0541 0.5000  6 O 2.30-2.57
Ru 0.5006 0.9995 0.2478  6 O 1.96-2.00
Ru 0.5006 0.9995 0.7522  6 O 1.96-2.00
O 0.2030 0.2056 0.8004  2 Ru 2.00
O 0.7073 0.2888 0.2851  2 Ru 1.97-1.98
O 0.8045 0.8007 0.2941  2 Ru 2.00
Ca 0.4859 0.4412 0.0000  6 O 2.32-2.52
O 0.8045 0.8007 0.7059  2 Ru 2.00
O 0.9078 0.5298 0.0000  2 Ru 1.97
Ca 0.0138 0.9461 0.0000  6 O 2.30-2.57
Sr 0.5095 0.5457 0.5000  8 O 2.41-2.68
O 0.3006 0.7036 0.2028  2 Ru 1.99-2.00
O 0.7073 0.2888 0.7149  2 Ru 1.97-1.98

=====

Computed, not measured: an optimized crystal structure of SrCa3Ru2O8 at the GGA-PBEsol level of DFT.

Symmetry: Iba2, No. 45
Energy relative to the elements, uncorrected (eV per atom): -2.163
E_tot (Ry per atom): -0.5295
Magnetization (μB per cell): 4.47

Unit cell a=5.2783 b=5.2783 c=13.1146 alpha=101.61 beta=101.61 gamma=90.00
Closest atoms and distances in Å follow each position.
Element x y z (fractional)
O 0.8161 0.9270 0.2430  2 Ru 1.91
Ru 0.6228 0.6228 0.2456  6 O 1.91-2.12
Sr 0.2011 0.7011 0.4021  7 O 2.38-2.64
O 0.2071 0.2071 0.4142  1 Ru 2.12, 1 Ca 2.35
O 0.0626 0.6904 0.7530  2 Ru 1.93
O 0.7957 0.2957 0.5914  1 Ru 2.04
Ca 0.0477 0.5477 0.0954  3 O 2.24-2.36
Ru 0.8769 0.3769 0.7538  6 O 1.93-2.06
O 0.9587 0.4586 0.9173  1 Ru 2.06, 1 Ca 2.24
Ca 0.5477 0.0477 0.0954  3 O 2.24-2.36
Ca 0.8006 0.8006 0.6013  3 O 2.35-2.36
O 0.9269 0.4270 0.2430  2 Ru 1.91
O 0.5626 0.5626 0.7530  2 Ru 1.93
O 0.5413 0.5413 0.0826  1 Ru 2.05, 1 Ca 2.24
O 0.4587 0.9586 0.9173  1 Ru 2.06, 1 Ca 2.24
O 0.7071 0.7071 0.4142  1 Ru 2.12, 1 Ca 2.35
O 0.3160 0.8161 0.2430  2 Ru 1.91
O 0.2957 0.7957 0.5914  1 Ru 2.04
Ca 0.3006 0.3006 0.6013  3 O 2.35-2.36
O 0.6904 0.0626 0.7530  2 Ru 1.93
Ru 0.3769 0.8769 0.7538  6 O 1.93-2.06
Ca 0.4522 0.4522 0.9043  3 O 2.24-2.36
O 0.1904 0.1904 0.7530  2 Ru 1.93
Sr 0.7011 0.2011 0.4021  7 O 2.38-2.64
O 0.0413 0.0413 0.0826  1 Ru 2.05, 1 Ca 2.24
O 0.4270 0.3161 0.2430  2 Ru 1.91
Ca 0.9522 0.9522 0.9043  3 O 2.24-2.36
Ru 0.1228 0.1228 0.2456  6 O 1.91-2.12

=====

Computed, not measured: an optimized crystal structure of Ca2TmRuO6 at the GGA-PBEsol level of DFT.

Symmetry: P2_1/c, No. 14
Energy relative to the elements, uncorrected (eV per atom): -2.534
E_tot (Ry per atom): -0.5599
Magnetization (μB per cell): 6.02

Unit cell a=5.4916 b=5.7019 c=7.8846 alpha=90.00 beta=89.46 gamma=90.00
Closest atoms and distances in Å follow each position.
Element x y z (fractional)
O 0.6827 0.2157 0.4411  1 Ru 1.96, 1 Tm 2.19
Tm 0.0000 0.0000 0.5000  6 O 2.17-2.19
Tm 0.5000 0.5000 0.0000  6 O 2.17-2.19
O 0.7862 0.6885 0.4469  1 Ru 1.95, 1 Tm 2.17
O 0.8943 0.9605 0.7657  1 Ru 1.95, 1 Tm 2.18
O 0.2138 0.3115 0.5531  1 Ru 1.95, 1 Tm 2.17
O 0.1827 0.2843 0.9411  1 Ru 1.96, 1 Tm 2.19
O 0.3173 0.7843 0.5589  1 Ru 1.96, 1 Tm 2.19
O 0.7138 0.1885 0.0531  1 Ru 1.95, 1 Tm 2.17
Ru 0.5000 0.5000 0.5000  6 O 1.95-1.96
O 0.6057 0.4605 0.7343  1 Ru 1.95, 1 Tm 2.18
O 0.3943 0.5395 0.2657  1 Ru 1.95, 1 Tm 2.18
Ca 0.0164 0.5568 0.7495  6 O 2.33-2.60
Ru 0.0000 0.0000 0.0000  6 O 1.95-1.96
Ca 0.5164 0.9432 0.2495  6 O 2.33-2.60
Ca 0.9836 0.4432 0.2505  6 O 2.33-2.60
O 0.2862 0.8115 0.9469  1 Ru 1.95, 1 Tm 2.17
O 0.1057 0.0395 0.2343  1 Ru 1.95, 1 Tm 2.18
Ca 0.4836 0.0568 0.7505  6 O 2.33-2.60
O 0.8173 0.7157 0.0589  1 Ru 1.96, 1 Tm 2.19

=====

Computed, not measured: an optimized crystal structure of CaS2O at the GGA-PBEsol level of DFT.

Symmetry: R-3m, No. 166
Energy relative to the elements, uncorrected (eV per atom): -0.655
E_tot (Ry per atom): -0.3449
Magnetization (μB per cell): 0.00

Unit cell a=4.3772 b=4.3772 c=6.3032 alpha=69.68 beta=69.68 gamma=60.00
Closest atoms and distances in Å follow each position.
Element x y z (fractional)
Ca 0.5000 0.5000 0.5000  6 S 2.81
S 0.9045 0.9045 0.2865  1 O 1.65
O 0.0000 0.0000 0.0000  2 S 1.65
S 0.0955 0.0955 0.7135  1 O 1.65

=====

Computed, not measured: an optimized crystal structure of Ca3SO at the GGA-PBEsol level of DFT.

Symmetry: Pm-3m, No. 221
Energy relative to the elements, uncorrected (eV per atom): -0.657
E_tot (Ry per atom): -0.2840
Magnetization (μB per cell): 0.00

Unit cell a=5.1807 b=5.1807 c=5.1807 alpha=90.00 beta=90.00 gamma=90.00
Closest atoms and distances in Å follow each position.
Element x y z (fractional)
Ca 0.0000 0.5000 0.0000  2 S 2.59
S 0.0000 0.0000 0.0000  6 Ca 2.59
Ca 0.0000 0.0000 0.5000  2 S 2.59
Ca 0.5000 0.0000 0.0000  2 S 2.59
O 0.5000 0.5000 0.5000  12 Ca 3.66

=====

Computed, not measured: an optimized crystal structure of CaSO4 at the GGA-PBEsol level of DFT.

Symmetry: P2_1/c, No. 14
Energy relative to the elements, uncorrected (eV per atom): -2.240
E_tot (Ry per atom): -0.5017
Magnetization (μB per cell): 0.00

Unit cell a=6.3416 b=6.6630 c=6.8713 alpha=90.00 beta=90.00 gamma=103.40
Closest atoms and distances in Å follow each position.
Element x y z (fractional)
O 0.5098 0.3805 0.6674  1 S 1.50
S 0.1135 0.8035 0.6612  4 O 1.48-1.50
O 0.4902 0.6195 0.3326  1 S 1.50
O 0.7032 0.1237 0.7912  1 S 1.48
Ca 0.5950 0.7807 0.6543  8 O 2.40-2.60
O 0.6977 0.0323 0.4001  1 S 1.48
O 0.7968 0.3763 0.2912  1 S 1.48
S 0.8865 0.1965 0.3388  4 O 1.48-1.50
O 0.8023 0.4677 0.9001  1 S 1.48
O 0.9445 0.7525 0.5081  1 S 1.48
O 0.5555 0.7475 0.0081  1 S 1.48
O 0.9902 0.1195 0.1674  1 S 1.50
O 0.1977 0.5323 0.0999  1 S 1.48
S 0.3865 0.6965 0.1612  4 O 1.48-1.50
O 0.2968 0.8763 0.2088  1 S 1.48
O 0.0098 0.8805 0.8326  1 S 1.50
O 0.0555 0.2475 0.4919  1 S 1.48
O 0.4445 0.2525 0.9919  1 S 1.48
Ca 0.9050 0.7193 0.1543  8 O 2.40-2.60
O 0.3023 0.9677 0.5999  1 S 1.48
S 0.6135 0.3035 0.8388  4 O 1.48-1.50
Ca 0.4050 0.2193 0.3457  8 O 2.40-2.60
Ca 0.0950 0.2807 0.8457  8 O 2.40-2.60
O 0.2032 0.6237 0.7088  1 S 1.48

=====

Computed, not measured: an optimized crystal structure of CaS3O10 at the GGA-PBEsol level of DFT.

Symmetry: P2_1/c, No. 14
Energy relative to the elements, uncorrected (eV per atom): -1.636
E_tot (Ry per atom): -0.4761
Magnetization (μB per cell): 0.00

Unit cell a=8.4463 b=9.0386 c=10.0940 alpha=90.00 beta=91.88 gamma=90.00
Closest atoms and distances in Å follow each position.
Element x y z (fractional)
O 0.6873 0.4555 0.3661  1 S 1.44
S 0.1473 0.1665 0.5018  4 O 1.43-1.57
S 0.8437 0.1121 0.1398  3 O 1.44
O 0.5137 0.6608 0.4205  1 S 1.44
O 0.3060 0.8316 0.9682  2 S 1.57-1.72
O 0.8313 0.5752 0.8281  1 S 1.45
S 0.1563 0.8879 0.8602  3 O 1.44
O 0.1913 0.8161 0.7373  1 S 1.44
O 0.6913 0.6839 0.2373  1 S 1.44
O 0.4799 0.3406 0.0185  1 S 1.43
O 0.1717 0.1561 0.3488  2 S 1.57-1.75
O 0.1881 0.6058 0.3513  1 S 1.44
S 0.8527 0.8335 0.4982  4 O 1.43-1.57
Ca 0.2977 0.7764 0.5220  7 O 2.36-2.47
O 0.3087 0.3161 0.7627  1 S 1.44
O 0.8060 0.6684 0.4682  2 S 1.57-1.72
O 0.2504 0.0653 0.5714  1 S 1.43
O 0.7496 0.9347 0.4286  1 S 1.43
O 0.3283 0.6561 0.1512  2 S 1.57-1.75
O 0.5286 0.8396 0.6509  1 S 1.44
O 0.7504 0.4347 0.0714  1 S 1.43
O 0.6881 0.8942 0.8513  1 S 1.44
O 0.8127 0.9555 0.1339  1 S 1.44
S 0.6473 0.3335 0.0018  4 O 1.43-1.57
O 0.8119 0.3942 0.6487  1 S 1.44
O 0.3127 0.5445 0.6339  1 S 1.44
O 0.8087 0.1839 0.2627  1 S 1.44
O 0.1873 0.0445 0.8661  1 S 1.44
S 0.3527 0.6665 0.9982  4 O 1.43-1.57
S 0.8432 0.4225 0.7870  3 O 1.44-1.45
O 0.2496 0.5653 0.9286  1 S 1.43
O 0.0137 0.8392 0.9205  1 S 1.44
Ca 0.7023 0.2236 0.4780  7 O 2.36-2.47
Ca 0.7977 0.7236 0.0220  7 O 2.36-2.47
Ca 0.2023 0.2764 0.9780  7 O 2.36-2.47
O 0.6687 0.0752 0.6719  1 S 1.45
O 0.6940 0.1684 0.0318  2 S 1.57-1.72
O 0.6717 0.3439 0.8488  2 S 1.57-1.75
O 0.9863 0.1608 0.0795  1 S 1.44
O 0.9714 0.3396 0.8491  1 S 1.44
S 0.6563 0.6121 0.3602  3 O 1.44
O 0.0286 0.6604 0.1509  1 S 1.44
O 0.0201 0.8406 0.4815  1 S 1.43
O 0.8283 0.8439 0.6512  2 S 1.57-1.75
O 0.5201 0.6594 0.9815  1 S 1.43
O 0.1940 0.3316 0.5318  2 S 1.57-1.72
O 0.1687 0.4248 0.1719  1 S 1.45
S 0.3437 0.3879 0.6398  3 O 1.44
S 0.1568 0.5775 0.2130  3 O 1.44-1.45
O 0.3119 0.1058 0.1487  1 S 1.44
O 0.4714 0.1604 0.3491  1 S 1.44
O 0.3313 0.9248 0.3281  1 S 1.45
S 0.3432 0.0775 0.2870  3 O 1.44-1.45
S 0.6568 0.9225 0.7130  3 O 1.44-1.45
O 0.4863 0.3392 0.5795  1 S 1.44
O 0.9799 0.1594 0.5185  1 S 1.43

=====

Computed, not measured: an optimized crystal structure of CaSbO2 at the GGA-PBEsol level of DFT.

Symmetry: R-3m, No. 166
Energy relative to the elements, uncorrected (eV per atom): -1.246
E_tot (Ry per atom): -0.4074
Magnetization (μB per cell): 0.00

Unit cell a=3.6780 b=3.6780 c=6.7604 alpha=74.22 beta=74.22 gamma=60.00
Closest atoms and distances in Å follow each position.
Element x y z (fractional)
O 0.8877 0.8877 0.3368  1 Ca 2.16, 3 Sb 2.37
Sb 0.5000 0.5000 0.5000  6 O 2.37
Ca 0.0000 0.0000 0.0000  2 O 2.16
O 0.1123 0.1123 0.6632  1 Ca 2.16, 3 Sb 2.37